First-principles (GGA-PBE) data for Tm4Tl2N after structural relaxation, as listed in Alexandria via LeMat-Bulk.

## Properties
DOS at the Fermi energy in states/eV/atom: 0.64
Uncorrected formation energy in eV/atom: -0.711
Relative energy among the computed polymorphs in eV/f.u.: 0.00

Cell: 4.6567 4.6567 8.5037 Å, 74.11 74.11 90.00°
Last column: nearest neighbours and their distance in Å.
Element x y z (fractional)
Tl (0.6391, 0.6391, 0.7218)  9 Tm 3.10-3.31
Tl (0.3609, 0.3609, 0.2782)  9 Tm 3.10-3.31
Tm (0.8367, 0.8367, 0.3265)  1 N 2.56
Tm (0.1633, 0.1633, 0.6735)  1 N 2.56
Tm (0.0000, 0.5000, 0.0000)  2 N 2.33
Tm (0.5000, 0.0000, 0.0000)  2 N 2.33
N (0.0000, 0.0000, 0.0000)  6 Tm 2.33-2.56